VASP calculation (PBE-GGA) on a relaxed structure of Ca3AlTl.

Structure (POSCAR):
```
Ca3AlTl
1.0
2.698 -10.461 0.000
2.698 10.461 0.000
0.000 0.000 5.395
Ca Al Tl
6 2 2
Cartesian
2.698 9.003 4.046
2.698 5.235 4.046
2.698 1.477 4.046
2.698 -1.477 1.349
2.698 -5.235 1.349
2.698 -9.003 1.349
2.698 7.200 1.349
2.698 -7.200 4.046
2.698 3.267 1.349
2.698 -3.267 4.046
```

## Properties
- Symmetry: No. 63



VASP calculation (PBE-GGA) on a relaxed structure of Ca2AlTl.

Structure (POSCAR):
```
Ca2AlTl
1.0
-1.780 3.111 6.345
1.780 -3.111 6.345
1.780 3.111 -6.345
Ca Al Tl
2 1 1
Cartesian
0.000 0.000 3.115
0.000 0.000 9.576
0.000 0.000 0.000
0.000 0.000 6.345
```

## Properties
- Symmetry: No. 71



VASP calculation (PBE-GGA) on a relaxed structure of CaAlTl.

Structure (POSCAR):
```
CaAlTl
1.0
-2.416 4.251 3.772
2.416 -4.251 3.772
2.416 4.251 -3.772
Ca Al Tl
2 2 2
Cartesian
1.208 1.736 0.000
1.208 2.515 3.772
1.208 -0.607 5.239
1.208 4.858 1.466
1.208 -0.908 2.249
1.208 5.160 -1.524
```

## Properties
- Symmetry: No. 46



no.,volume (Å³ per atom),energy (eV for the cell shown),E_form (eV/atom)
1,30.5,-26.80,-0.258
2,35.1,-8.63,0.370
3,25.8,-17.69,-0.245